1.
Here is La5Y2Tm2 after structural relaxation from the Alexandria database. Energies are from GGA-PBE.

Properties
- Electronic total energy: -90.0 eV/cell
- Formation energy: 0.167 eV/atom

```
La5Y2Tm2
1.0
12.984 0.000 0.000
0.000 6.302 0.000
-6.492 -3.151 7.578
La Y Tm
10 4 4
Direct
0.246 0.737 0.899
0.848 0.338 0.101
0.923 0.292 0.500
0.754 0.838 0.101
0.538 0.307 0.711
0.673 0.807 0.711
0.462 0.596 0.289
0.077 0.792 0.500
0.152 0.237 0.899
0.327 0.096 0.289
0.417 0.817 0.734
0.583 0.084 0.266
0.183 0.584 0.266
0.817 0.317 0.734
0.000 0.895 0.000
0.500 0.395 0.000
0.192 0.271 0.500
0.808 0.771 0.500
```



2.
Here is ZnFePd after structural relaxation from the Alexandria database. Energies are from GGA-PBE.

Properties
- Electronic total energy: -30.2 eV/cell
- Formation energy: -0.055 eV/atom

```
ZnFePd
1.0
2.961 0.000 0.000
0.000 2.961 0.000
-1.481 -1.481 9.973
Zn Fe Pd
2 2 2
Direct
0.858 0.858 0.716
0.142 0.142 0.284
0.721 0.721 0.441
0.279 0.279 0.559
0.567 0.567 0.134
0.433 0.433 0.866
```